Compound: Mn2PPb
Source: Alexandria via LeMat-Bulk
Functional: PBE-GGA
Structure: optimized geometry

- D(E_F): 1.31 states/eV/atom
- Volume: 73.1 Å³/cell
- Formation energy from the elements: 273 kJ/mol of formula units

Lattice parameters (Å, degrees): 4.6939 4.6939 4.6939 60.00 60.00 60.00
With the nearest neighbours (Å) after each atom.
Atoms (fractional coordinates):
Mn  0.0000  0.0000  0.0000  4 Pb 2.87, 4 Mn 2.87
Mn  0.2500  0.2500  0.2500  4 P 2.87, 4 Mn 2.87
P  0.5000  0.5000  0.5000  4 Pb 2.87, 4 Mn 2.87
Pb  0.7500  0.7500  0.7500  4 P 2.87, 4 Mn 2.87